(1)
A relaxed In2SiS crystal, computed with GGA-PBEsol.

Unit cell a=5.9224 b=5.9224 c=7.3738 alpha=113.68 beta=113.68 gamma=90.00
Last column: nearest neighbours and their distance in Å.
Atoms (fractional coordinates):
S 0.2500 0.7500 0.5000  4 In 2.62
S 0.0000 0.0000 0.0000  4 In 2.62
Si 0.7500 0.2500 0.5000  4 In 2.55
Si 0.5000 0.5000 0.0000  4 In 2.55
In 0.8637 0.3750 0.2500  2 Si 2.55, 2 S 2.62
In 0.3863 0.8750 0.2500  2 Si 2.55, 2 S 2.62
In 0.6250 0.6137 0.7500  2 Si 2.55, 2 S 2.62
In 0.1250 0.1363 0.7500  2 Si 2.55, 2 S 2.62

For the energy relative to the elements, uncorrected, the calculation gives -0.14 eV/atom.



(2)
A relaxed InSiTc2S crystal, computed with GGA-PBEsol.

Unit cell a=4.6801 b=5.0237 c=5.0237 alpha=90.00 beta=90.00 gamma=90.00
Last column: nearest neighbours and their distance in Å.
Atoms (fractional coordinates):
S 0.5000 0.0000 0.0000  2 In 2.34
Si 0.5000 0.5000 0.5000  8 Tc 3.43, 4 S 3.55
Tc 0.0000 0.0000 0.5000  2 In 2.51
Tc 0.0000 0.5000 0.0000  2 In 2.51
In 0.0000 0.0000 0.0000  2 S 2.34, 4 Tc 2.51

For the energy relative to the elements, uncorrected, the calculation gives 2.17 eV/atom.



(3)
A relaxed Sm3InS6 crystal, computed with GGA-PBEsol.

Unit cell a=3.8765 b=13.5084 c=16.4782 alpha=90.00 beta=90.00 gamma=90.00
Last column: nearest neighbours and their distance in Å.
Atoms (fractional coordinates):
Sm 0.2501 0.0414 0.7766  8 S 2.80-2.92
Sm 0.2501 0.9586 0.2234  8 S 2.80-2.92
Sm 0.7499 0.4586 0.2766  8 S 2.80-2.92
Sm 0.7499 0.5414 0.7234  8 S 2.80-2.92
Sm 0.2506 0.2516 0.6057  8 S 2.80-3.09
Sm 0.2506 0.7484 0.3943  8 S 2.80-3.09
Sm 0.7494 0.2484 0.1057  8 S 2.80-3.09
Sm 0.7494 0.7516 0.8943  8 S 2.80-3.09
Sm 0.7497 0.3119 0.8536  7 S 2.74-2.93
Sm 0.7497 0.6881 0.1464  7 S 2.74-2.93
Sm 0.2503 0.1881 0.3536  7 S 2.74-2.93
Sm 0.2503 0.8119 0.6464  7 S 2.74-2.93
In 0.7509 0.0000 0.5000  6 S 2.61
In 0.2491 0.5000 0.0000  6 S 2.61
In 0.2523 0.5000 0.5000  6 S 2.44-2.72
In 0.7477 0.0000 0.0000  6 S 2.44-2.72
S 0.7507 0.4055 0.5856  2 In 2.71-2.72, 3 Sm 2.86-2.92
S 0.7507 0.5945 0.4144  2 In 2.71-2.72, 3 Sm 2.86-2.92
S 0.2493 0.0945 0.0856  2 In 2.71-2.72, 3 Sm 2.86-2.92
S 0.2493 0.9055 0.9144  2 In 2.71-2.72, 3 Sm 2.86-2.92
S 0.2495 0.3084 0.9801  1 In 2.61, 2 Sm 2.85
S 0.2495 0.6916 0.0199  1 In 2.61, 2 Sm 2.85
S 0.7505 0.1916 0.4801  1 In 2.61, 2 Sm 2.85
S 0.7505 0.8084 0.5199  1 In 2.61, 2 Sm 2.85
S 0.7500 0.1129 0.8843  1 In 2.44
S 0.7500 0.8871 0.1157  1 In 2.44
S 0.2500 0.3871 0.3843  1 In 2.44
S 0.2500 0.6129 0.6157  1 In 2.44
S 0.7504 0.1817 0.7140  5 Sm 2.80-2.90, 1 S 2.96
S 0.7504 0.8183 0.2860  5 Sm 2.80-2.90, 1 S 2.96
S 0.2496 0.3183 0.2140  5 Sm 2.80-2.90, 1 S 2.96
S 0.2496 0.6817 0.7860  5 Sm 2.80-2.90, 1 S 2.96
S 0.2498 0.3888 0.7519  5 Sm 2.76-3.04
S 0.2498 0.6112 0.2481  5 Sm 2.76-3.04
S 0.7502 0.1112 0.2519  5 Sm 2.76-3.04
S 0.7502 0.8888 0.7481  5 Sm 2.76-3.04
S 0.2508 0.0226 0.6041  2 In 2.61, 1 Sm 2.85
S 0.2508 0.9774 0.3959  2 In 2.61, 1 Sm 2.85
S 0.7492 0.4774 0.1041  2 In 2.61, 1 Sm 2.85
S 0.7492 0.5226 0.8959  2 In 2.61, 1 Sm 2.85

For the energy relative to the elements, uncorrected, the calculation gives -1.76 eV/atom.



(4)
A relaxed In6Sn8S19 crystal, computed with GGA-PBEsol.

Unit cell a=3.8076 b=14.6732 c=14.6780 alpha=62.96 beta=83.14 gamma=82.60
Last column: nearest neighbours and their distance in Å.
Atoms (fractional coordinates):
In 0.3978 0.0766 0.1362  6 S 2.60-2.68
In 0.6038 0.9210 0.8628  6 S 2.60-2.71
In 0.9792 0.1449 0.8840  6 S 2.55-2.78
In 0.0218 0.8541 0.1147  6 S 2.53-2.80
In 0.2555 0.8907 0.5944  6 S 2.58-2.64
In 0.2072 0.3496 0.2349  6 S 2.58-2.68
Sn 0.6867 0.6039 0.0659  3 S 2.69-2.73
Sn 0.3033 0.3926 0.9456  6 S 2.77-3.10
Sn 0.5662 0.2241 0.6154  3 S 2.70-2.73
Sn 0.4393 0.7806 0.3800  3 S 2.71-2.73
Sn 0.7395 0.1105 0.4070  6 S 2.51-2.64
Sn 0.7881 0.6485 0.7640  6 S 2.54-2.62
Sn 0.6544 0.5341 0.3684  3 S 2.69-2.80
Sn 0.3661 0.4674 0.6361  4 S 2.76-3.05
S 0.6678 0.2985 0.3693  1 Sn 2.54, 2 In 2.58-2.60
S 0.3282 0.6960 0.6305  2 Sn 2.58-2.59, 1 In 2.64
S 0.9216 0.9451 0.2295  3 In 2.55-2.61
S 0.0792 0.0527 0.7692  3 In 2.57-2.62
S 0.7128 0.8398 0.7332  1 Sn 2.61, 3 In 2.62-2.64
S 0.2858 0.1535 0.2691  2 Sn 2.62-2.64, 2 In 2.64-2.67
S 0.8049 0.9206 0.4612  1 Sn 2.51, 2 In 2.60-2.62
S 0.1907 0.0861 0.5359  1 In 2.58, 2 Sn 2.58-2.59
S 0.8860 0.1996 0.0283  3 In 2.56-2.61
S 0.1146 0.7998 0.9723  3 In 2.53-2.60
S 0.7531 0.4055 0.0934  2 In 2.63-2.68, 2 Sn 2.73-2.88
S 0.2460 0.5999 0.8996  3 Sn 2.59-2.78
S 0.5361 0.7369 0.2176  2 In 2.54-2.56, 2 Sn 2.71-2.80
S 0.4641 0.2635 0.7821  2 In 2.55-2.56, 2 Sn 2.73-2.79
S 0.9797 0.6314 0.4475  3 Sn 2.69-2.73
S 0.0211 0.3713 0.5528  3 Sn 2.70-2.76
S 0.4999 0.0010 0.9987  6 In 2.68-2.80
S 0.8556 0.4652 0.7868  3 Sn 2.54-2.77
S 0.1438 0.5350 0.2138  1 In 2.58, 3 Sn 2.69-2.75

For the energy relative to the elements, uncorrected, the calculation gives -0.51 eV/atom.



Question: Which of these has the lowest energy relative to the elements, uncorrected?
Answer: Sm3InS6